Compound: InSn4Pb6
Source: Alexandria
Functional: PBE
Structure: optimized geometry

Cell: 8.404 8.404 8.404 Å, 125.58 125.58 80.58°
Atoms (fractional coordinates):
In1 0.000 0.000 0.000
Sn1 0.116 0.116 0.490
Sn2 0.374 0.884 0.000
Sn3 0.626 0.626 0.510
Sn4 0.884 0.374 0.000
Pb1 0.000 0.500 0.500
Pb2 0.202 0.514 0.000
Pb3 0.486 0.486 0.688
Pb4 0.500 0.000 0.500
Pb5 0.514 0.202 0.000
Pb6 0.798 0.798 0.312

SG: I-42m, No. 121
Formation energy from the elements: 0.126 eV per atom


Compound: In6Sn2Pb
Source: Alexandria
Functional: PBE
Structure: optimized geometry

Cell: 5.285 5.285 10.444 Å, 90.00 90.00 120.00°
Atoms (fractional coordinates):
In1 0.000 0.000 0.163
In2 0.000 0.000 0.837
In3 0.333 0.667 0.045
In4 0.333 0.667 0.376
In5 0.667 0.333 0.624
In6 0.667 0.333 0.955
Sn1 0.333 0.667 0.716
Sn2 0.667 0.333 0.284
Pb1 0.000 0.000 0.500

SG: P-3m1, No. 164
Formation energy from the elements: 0.037 eV per atom